TbPrCd4 | Alexandria | PBE | optimized geometry; polymorph energy (0 for the lowest one) = 0.0 kJ per mole of atoms; space-group type = Pmmm, No. 47; calculated formation energy = -334.7 meV per atom; calculated density = 8126 kg/m3
1.0
-1.747 2.642 1.408
1.447 -1.498 4.604
8.873 2.389 -2.011
Cd Pr Tb
4 1 1
direct
0.830 0.997 0.827
0.665 0.497 0.661
0.173 0.997 0.170
0.337 0.497 0.335
0.501 0.497 0.998
0.001 0.997 0.498